1.
Compound: LiZn2GaRu
Source: Alexandria
Functional: PBE-GGA
Structure: relaxed

Computed properties:
V   21.9 Å³ per atom
Calculated density   4.674 g cm⁻³
VASP energy   -16.36 eV/cell

a b c (Å): 4.822 4.822 4.716
angles (deg): 90.00 90.00 90.00
Atoms (fractional coordinates):
Li (0.000, 0.000, 0.000)
Zn (0.000, 0.500, 0.500)
Zn (0.500, 0.000, 0.500)
Ga (0.500, 0.500, 0.000)
Ru (0.500, 0.500, 0.500)

2.
Compound: HfZnRe2Hg
Source: Alexandria
Functional: PBE-GGA
Structure: relaxed

Computed properties:
V   25.9 Å³ per atom
Calculated density   10.487 g cm⁻³
VASP energy   -26.08 eV/cell

a b c (Å): 4.898 4.898 5.392
angles (deg): 90.00 90.00 90.00
Atoms (fractional coordinates):
Hf (0.000, 0.000, 0.000)
Zn (0.500, 0.500, 0.500)
Re (0.000, 0.500, 0.000)
Re (0.500, 0.000, 0.000)
Hg (0.000, 0.000, 0.500)

3.
Compound: Mn4Si2C
Source: Alexandria
Functional: PBE-GGA
Structure: relaxed

Computed properties:
Energy relative to the elements, uncorrected   -0.096 eV per atom
V   11.6 Å³ per atom
Calculated density   5.886 g cm⁻³
VASP energy   -114.83 eV/cell

a b c (Å): 3.690 3.690 11.929
angles (deg): 90.00 90.00 90.00
Atoms (fractional coordinates):
Mn (0.000, 0.000, 0.168)
Mn (0.000, 0.000, 0.832)
Mn (0.000, 0.500, 0.000)
Mn (0.000, 0.500, 0.500)
Mn (0.500, 0.000, 0.000)
Mn (0.500, 0.000, 0.500)
Mn (0.500, 0.500, 0.332)
Mn (0.500, 0.500, 0.668)
Si (0.000, 0.000, 0.361)
Si (0.000, 0.000, 0.639)
Si (0.500, 0.500, 0.139)
Si (0.500, 0.500, 0.861)
C (0.000, 0.000, 0.000)
C (0.500, 0.500, 0.500)

4.
Compound: TiTc2Sb
Source: Alexandria
Functional: PBE-GGA
Structure: relaxed

Computed properties:
Energy relative to the elements, uncorrected   -0.197 eV per atom
V   16.1 Å³ per atom
Calculated density   9.423 g cm⁻³
VASP energy   -33.54 eV/cell

a b c (Å): 3.223 3.223 6.200
angles (deg): 90.00 90.00 90.00
Atoms (fractional coordinates):
Ti (0.000, 0.000, 0.000)
Tc (0.500, 0.500, 0.246)
Tc (0.500, 0.500, 0.754)
Sb (0.000, 0.000, 0.500)

5.
Compound: Ga2HRh2
Source: Alexandria
Functional: PBE-GGA
Structure: relaxed

Computed properties:
V   13.0 Å³ per atom
Calculated density   8.817 g cm⁻³
VASP energy   -51.26 eV/cell

a b c (Å): 5.728 5.728 3.975
angles (deg): 90.00 90.00 90.00
Atoms (fractional coordinates):
Ga (0.154, 0.346, 0.000)
Ga (0.346, 0.846, 0.000)
Ga (0.654, 0.154, 0.000)
Ga (0.846, 0.654, 0.000)
H (0.000, 0.000, 0.500)
H (0.500, 0.500, 0.500)
Rh (0.170, 0.670, 0.500)
Rh (0.330, 0.170, 0.500)
Rh (0.670, 0.830, 0.500)
Rh (0.830, 0.330, 0.500)

6.
Compound: MgSnAu14
Source: Alexandria
Functional: PBE-GGA
Structure: relaxed

Computed properties:
V   18.4 Å³ per atom
Calculated density   16.349 g cm⁻³
VASP energy   -52.72 eV/cell

a b c (Å): 9.619 5.767 5.767
angles (deg): 67.05 90.00 90.00
Atoms (fractional coordinates):
Mg (0.000, 0.000, 0.000)
Sn (0.000, 0.494, 0.494)
Au (0.000, 0.506, 0.993)
Au (0.000, 0.993, 0.506)
Au (0.244, 0.184, 0.184)
Au (0.249, 0.180, 0.690)
Au (0.249, 0.690, 0.180)
Au (0.256, 0.685, 0.685)
Au (0.500, 0.010, 0.492)
Au (0.500, 0.492, 0.010)
Au (0.500, 0.503, 0.503)
Au (0.500, 0.999, 0.999)
Au (0.744, 0.685, 0.685)
Au (0.751, 0.180, 0.690)
Au (0.751, 0.690, 0.180)
Au (0.756, 0.184, 0.184)

7.
Compound: Ac3Pt2O
Source: Alexandria
Functional: PBE-GGA
Structure: relaxed

Computed properties:
Energy relative to the elements, uncorrected   -1.624 eV per atom
V   28.3 Å³ per atom
Calculated density   10.630 g cm⁻³
E above lowest polymorph   0.00 eV/f.u.
VASP energy   -156.43 eV/cell

a b c (Å): 7.520 7.520 14.810
angles (deg): 92.30 92.30 125.49
Atoms (fractional coordinates):
Ac (0.010, 0.990, 0.750)
Ac (0.125, 0.322, 0.521)
Ac (0.148, 0.519, 0.128)
Ac (0.322, 0.125, 0.021)
Ac (0.392, 0.608, 0.750)
Ac (0.481, 0.852, 0.372)
Ac (0.519, 0.148, 0.628)
Ac (0.608, 0.392, 0.250)
Ac (0.678, 0.875, 0.979)
Ac (0.852, 0.481, 0.872)
Ac (0.875, 0.678, 0.479)
Ac (0.990, 0.010, 0.250)
Pt (0.005, 0.589, 0.661)
Pt (0.143, 0.341, 0.926)
Pt (0.341, 0.143, 0.426)
Pt (0.411, 0.995, 0.839)
Pt (0.589, 0.005, 0.161)
Pt (0.659, 0.857, 0.574)
Pt (0.857, 0.659, 0.074)
Pt (0.995, 0.411, 0.339)
O (0.276, 0.287, 0.160)
O (0.287, 0.276, 0.660)
O (0.713, 0.724, 0.340)
O (0.724, 0.713, 0.840)

8.
Compound: Ca2Zn3Ga4
Source: Alexandria
Functional: PBE-GGA
Structure: relaxed

Computed properties:
V   19.7 Å³ per atom
Calculated density   5.213 g cm⁻³
VASP energy   -45.34 eV/cell

a b c (Å): 8.340 8.340 7.836
angles (deg): 90.00 90.00 139.53
Atoms (fractional coordinates):
Ca (0.106, 0.894, 0.901)
Ca (0.394, 0.606, 0.401)
Ca (0.606, 0.394, 0.599)
Ca (0.894, 0.106, 0.099)
Zn (0.000, 0.000, 0.500)
Zn (0.018, 0.482, 0.750)
Zn (0.482, 0.018, 0.250)
Zn (0.500, 0.500, 0.000)
Zn (0.518, 0.982, 0.750)
Zn (0.982, 0.518, 0.250)
Ga (0.176, 0.824, 0.512)
Ga (0.185, 0.315, 0.750)
Ga (0.315, 0.185, 0.250)
Ga (0.324, 0.676, 0.012)
Ga (0.676, 0.324, 0.988)
Ga (0.685, 0.815, 0.750)
Ga (0.815, 0.685, 0.250)
Ga (0.824, 0.176, 0.488)

9.
Compound: SrDyY
Source: Alexandria
Functional: PBE-GGA
Structure: relaxed

Computed properties:
V   37.1 Å³ per atom
Calculated density   5.059 g cm⁻³
E above lowest polymorph   0.15 eV/f.u.
VASP energy   -12.28 eV/cell

a b c (Å): 3.724 3.724 9.266
angles (deg): 90.00 90.00 120.00
Atoms (fractional coordinates):
Sr (0.000, 0.000, 0.000)
Dy (0.333, 0.667, 0.647)
Y (0.667, 0.333, 0.354)

10.
Compound: NbTlHg2
Source: Alexandria
Functional: PBE-GGA
Structure: relaxed

Computed properties:
V   23.8 Å³ per atom
Calculated density   12.158 g cm⁻³
VASP energy   -43.64 eV/cell

a b c (Å): 7.979 7.979 5.994
angles (deg): 90.00 90.00 90.00
Atoms (fractional coordinates):
Nb (0.000, 0.000, 0.000)
Nb (0.000, 0.500, 0.250)
Nb (0.500, 0.000, 0.750)
Nb (0.500, 0.500, 0.500)
Tl (0.000, 0.000, 0.500)
Tl (0.000, 0.500, 0.750)
Tl (0.500, 0.000, 0.250)
Tl (0.500, 0.500, 0.000)
Hg (0.236, 0.250, 0.125)
Hg (0.250, 0.736, 0.375)
Hg (0.250, 0.764, 0.875)
Hg (0.264, 0.250, 0.625)
Hg (0.736, 0.750, 0.625)
Hg (0.750, 0.236, 0.875)
Hg (0.750, 0.264, 0.375)
Hg (0.764, 0.750, 0.125)

What is the V in the third record?
11.6 Å³ per atom